Entry 1:
Computed, not measured: a relaxed BeZnPbO4 crystal at the GGA-PBE level of DFT.

Unit cell a=6.0169 b=6.0169 c=6.0169 alpha=121.16 beta=116.94 gamma=91.69
Fractional coordinates of all 14 atoms:
Be 0.3823 0.1323 0.2500
Be 0.6177 0.8677 0.7500
Zn 0.0000 0.0000 0.5000
Zn 0.0000 0.5000 0.0000
Pb 0.0000 0.5000 0.5000
Pb 0.5000 0.5000 0.0000
O 0.2509 0.2425 0.0084
O 0.2529 0.2356 0.4828
O 0.2529 0.7701 0.0172
O 0.2659 0.7575 0.5084
O 0.7341 0.2425 0.4916
O 0.7471 0.2299 0.9828
O 0.7471 0.7644 0.5172
O 0.7491 0.7575 0.9916


Entry 2:
Computed, not measured: a relaxed BePd2O crystal at the GGA-PBE level of DFT.

Unit cell a=3.9679 b=3.9679 c=13.5781 alpha=90.00 beta=90.00 gamma=90.00
Fractional coordinates of all 16 atoms:
Be 0.0000 0.0000 0.0000
Be 0.0000 0.5000 0.2500
Be 0.5000 0.0000 0.7500
Be 0.5000 0.5000 0.5000
Pd 0.2338 0.2500 0.6250
Pd 0.2500 0.7338 0.8750
Pd 0.2500 0.7662 0.3750
Pd 0.2662 0.2500 0.1250
Pd 0.7338 0.7500 0.1250
Pd 0.7500 0.2338 0.3750
Pd 0.7500 0.2662 0.8750
Pd 0.7662 0.7500 0.6250
O 0.0000 0.0000 0.5000
O 0.0000 0.5000 0.7500
O 0.5000 0.0000 0.2500
O 0.5000 0.5000 0.0000


Entry 3:
Computed, not measured: a relaxed BePdO crystal at the GGA-PBE level of DFT.

Unit cell a=2.7445 b=10.2350 c=4.6424 alpha=90.00 beta=90.00 gamma=90.00
Fractional coordinates of all 12 atoms:
Be 0.0000 0.2170 0.0000
Be 0.0000 0.7830 0.0000
Be 0.5000 0.2830 0.5000
Be 0.5000 0.7170 0.5000
Pd 0.0000 0.0000 0.7274
Pd 0.0000 0.5000 0.7245
Pd 0.5000 0.0000 0.2245
Pd 0.5000 0.5000 0.2274
O 0.0000 0.2812 0.6830
O 0.0000 0.7188 0.6830
O 0.5000 0.2188 0.1830
O 0.5000 0.7812 0.1830


Entry 4:
Computed, not measured: a relaxed Be3PdO crystal at the GGA-PBE level of DFT.

Unit cell a=4.1876 b=4.1876 c=4.1876 alpha=90.00 beta=90.00 gamma=90.00
Fractional coordinates of all 5 atoms:
Be 0.0000 0.0000 0.5000
Be 0.0000 0.5000 0.0000
Be 0.5000 0.0000 0.0000
Pd 0.0000 0.0000 0.0000
O 0.5000 0.5000 0.5000


Entry 5:
Computed, not measured: a relaxed BePdO crystal at the GGA-PBE level of DFT.

Unit cell a=6.1733 b=2.7008 c=8.1282 alpha=90.00 beta=90.00 gamma=90.00
Fractional coordinates of all 12 atoms:
Be 0.0260 0.2500 0.2437
Be 0.4740 0.7500 0.7437
Be 0.5260 0.2500 0.2563
Be 0.9740 0.7500 0.7563
Pd 0.1909 0.7500 0.9889
Pd 0.3091 0.2500 0.4889
Pd 0.6909 0.7500 0.5111
Pd 0.8091 0.2500 0.0111
O 0.0394 0.7500 0.3324
O 0.4606 0.2500 0.8324
O 0.5394 0.7500 0.1676
O 0.9606 0.2500 0.6676


Entry 6:
Computed, not measured: a relaxed BePdO crystal at the GGA-PBE level of DFT.

Unit cell a=3.9790 b=4.8189 c=4.8257 alpha=97.35 beta=108.21 gamma=108.45
Fractional coordinates of all 6 atoms:
Be 0.0000 0.0000 0.0000
Be 0.3353 0.9465 0.5742
Pd 0.6458 0.2906 0.0385
Pd 0.6654 0.5932 0.6290
O 0.1340 0.6053 0.5443
O 0.3199 0.0576 0.2879


Entry 7:
Computed, not measured: a relaxed BePd2O crystal at the GGA-PBE level of DFT.

Unit cell a=5.7087 b=5.7087 c=5.7087 alpha=90.00 beta=90.00 gamma=90.00
Fractional coordinates of all 16 atoms:
Be 0.0000 0.0000 0.0000
Be 0.0000 0.5000 0.5000
Be 0.5000 0.0000 0.5000
Be 0.5000 0.5000 0.0000
Pd 0.2500 0.2500 0.2500
Pd 0.2500 0.2500 0.7500
Pd 0.2500 0.7500 0.2500
Pd 0.2500 0.7500 0.7500
Pd 0.7500 0.2500 0.2500
Pd 0.7500 0.2500 0.7500
Pd 0.7500 0.7500 0.2500
Pd 0.7500 0.7500 0.7500
O 0.0000 0.0000 0.5000
O 0.0000 0.5000 0.0000
O 0.5000 0.0000 0.0000
O 0.5000 0.5000 0.5000


Entry 8:
Computed, not measured: a relaxed Be3PdO crystal at the GGA-PBE level of DFT.

Unit cell a=3.5824 b=3.5824 c=3.5824 alpha=90.00 beta=90.00 gamma=90.00
Fractional coordinates of all 5 atoms:
Be 0.0000 0.0000 0.5000
Be 0.0000 0.5000 0.0000
Be 0.5000 0.0000 0.0000
Pd 0.5000 0.5000 0.5000
O 0.0000 0.0000 0.0000


Entry 9:
Computed, not measured: a relaxed Be2Pd2O crystal at the GGA-PBE level of DFT.

Unit cell a=4.7446 b=4.7446 c=5.4643 alpha=90.00 beta=90.00 gamma=90.00
Fractional coordinates of all 10 atoms:
Be 0.0000 0.0000 0.2266
Be 0.0000 0.0000 0.7734
Be 0.5000 0.5000 0.2734
Be 0.5000 0.5000 0.7266
Pd 0.0000 0.5000 0.2500
Pd 0.0000 0.5000 0.7500
Pd 0.5000 0.0000 0.2500
Pd 0.5000 0.0000 0.7500
O 0.0000 0.0000 0.5000
O 0.5000 0.5000 0.0000


Entry 10:
Computed, not measured: a relaxed BePdO crystal at the GGA-PBE level of DFT.

Unit cell a=5.3329 b=2.7183 c=4.7129 alpha=90.00 beta=90.00 gamma=90.00
Fractional coordinates of all 6 atoms:
Be 0.0000 0.0000 0.0000
Be 0.0000 0.5000 0.5000
Pd 0.5000 0.0000 0.6653
Pd 0.5000 0.5000 0.1653
O 0.0000 0.0000 0.6667
O 0.0000 0.5000 0.1667


Entry 11:
Computed, not measured: a relaxed BePdO crystal at the GGA-PBE level of DFT.

Unit cell a=2.7111 b=2.8306 c=8.0717 alpha=90.00 beta=90.06 gamma=90.00
Fractional coordinates of all 6 atoms:
Be 0.0000 0.0000 0.0000
Be 0.4995 0.5000 0.7580
Pd 0.4971 0.5000 0.2055
Pd 0.9985 0.0000 0.4541
O 0.4998 0.0000 0.8860
O 0.9991 0.5000 0.6566


Entry 12:
Computed, not measured: a relaxed BePdO crystal at the GGA-PBE level of DFT.

Unit cell a=2.7142 b=2.7142 c=10.8295 alpha=90.00 beta=90.00 gamma=120.00
Fractional coordinates of all 6 atoms:
Be 0.3333 0.6667 0.2500
Be 0.6667 0.3333 0.7500
Pd 0.0000 0.0000 0.0000
Pd 0.0000 0.0000 0.5000
O 0.0000 0.0000 0.2500
O 0.0000 0.0000 0.7500


Entry 13:
Computed, not measured: a relaxed BePdO crystal at the GGA-PBE level of DFT.

Unit cell a=4.8614 b=5.2321 c=5.6320 alpha=90.00 beta=90.00 gamma=90.00
Fractional coordinates of all 12 atoms:
Be 0.0944 0.2500 0.1072
Be 0.4056 0.7500 0.6072
Be 0.5944 0.2500 0.3928
Be 0.9056 0.7500 0.8928
Pd 0.0979 0.2500 0.5154
Pd 0.4021 0.7500 0.0154
Pd 0.5979 0.2500 0.9846
Pd 0.9021 0.7500 0.4846
O 0.0000 0.0000 0.0000
O 0.0000 0.5000 0.0000
O 0.5000 0.0000 0.5000
O 0.5000 0.5000 0.5000


Entry 14:
Computed, not measured: a relaxed BePdO crystal at the GGA-PBE level of DFT.

Unit cell a=4.8233 b=2.5213 c=10.6154 alpha=90.00 beta=90.00 gamma=90.00
Fractional coordinates of all 12 atoms:
Be 0.0059 0.2500 0.2496
Be 0.4941 0.7500 0.7496
Be 0.5059 0.2500 0.2504
Be 0.9941 0.7500 0.7504
Pd 0.2500 0.2500 0.0004
Pd 0.2500 0.7500 0.5004
Pd 0.7500 0.2500 0.4996
Pd 0.7500 0.7500 0.9996
O 0.2441 0.2500 0.7563
O 0.2559 0.7500 0.2563
O 0.7441 0.2500 0.7437
O 0.7559 0.7500 0.2437


Entry 15:
Computed, not measured: a relaxed BePdO crystal at the GGA-PBE level of DFT.

Unit cell a=5.7718 b=5.7718 c=4.7031 alpha=90.00 beta=90.00 gamma=56.37
Fractional coordinates of all 12 atoms:
Be 0.1162 0.3577 0.0000
Be 0.3577 0.1162 0.5000
Be 0.6423 0.8838 0.0000
Be 0.8838 0.6423 0.5000
Pd 0.1216 0.8784 0.8138
Pd 0.3742 0.6258 0.3181
Pd 0.6258 0.3742 0.8181
Pd 0.8784 0.1216 0.3138
O 0.1458 0.3978 0.3309
O 0.3978 0.1458 0.8309
O 0.6022 0.8542 0.3309
O 0.8542 0.6022 0.8309


Entry 16:
Computed, not measured: a relaxed BePdO crystal at the GGA-PBE level of DFT.

Unit cell a=3.9928 b=3.9928 c=4.5748 alpha=90.00 beta=90.00 gamma=120.00
Fractional coordinates of all 6 atoms:
Be 0.0000 0.0000 0.0000
Be 0.0000 0.0000 0.5000
Pd 0.3333 0.6667 0.2500
Pd 0.6667 0.3333 0.7500
O 0.3333 0.6667 0.7500
O 0.6667 0.3333 0.2500


Entry 17:
Computed, not measured: a relaxed BePdO crystal at the GGA-PBE level of DFT.

Unit cell a=8.4994 b=2.7691 c=7.4808 alpha=90.00 beta=114.71 gamma=90.00
Fractional coordinates of all 12 atoms:
Be 0.0000 0.0000 0.0000
Be 0.2489 0.5000 0.2876
Be 0.5000 0.5000 0.0000
Be 0.7489 0.0000 0.2876
Pd 0.2679 0.0000 0.9159
Pd 0.4345 0.0000 0.6878
Pd 0.7679 0.5000 0.9159
Pd 0.9345 0.5000 0.6878
O 0.1670 0.0000 0.1908
O 0.4104 0.5000 0.4848
O 0.6670 0.5000 0.1908
O 0.9104 0.0000 0.4848


Entry 18:
Computed, not measured: a relaxed Be4PdO2 crystal at the GGA-PBE level of DFT.

Unit cell a=4.2411 b=4.2411 c=9.7934 alpha=90.00 beta=90.00 gamma=90.00
Fractional coordinates of all 14 atoms:
Be 0.0000 0.0000 0.2256
Be 0.0000 0.0000 0.7744
Be 0.0000 0.5000 0.0000
Be 0.0000 0.5000 0.5000
Be 0.5000 0.0000 0.0000
Be 0.5000 0.0000 0.5000
Be 0.5000 0.5000 0.2744
Be 0.5000 0.5000 0.7256
Pd 0.0000 0.0000 0.0000
Pd 0.5000 0.5000 0.5000
O 0.0000 0.0000 0.3732
O 0.0000 0.0000 0.6268
O 0.5000 0.5000 0.1268
O 0.5000 0.5000 0.8732


Entry 19:
Computed, not measured: a relaxed Be2Pd2O crystal at the GGA-PBE level of DFT.

Unit cell a=5.0618 b=5.0618 c=4.4295 alpha=90.00 beta=90.00 gamma=90.00
Fractional coordinates of all 10 atoms:
Be 0.1887 0.3113 0.0000
Be 0.3113 0.8113 0.0000
Be 0.6887 0.1887 0.0000
Be 0.8113 0.6887 0.0000
Pd 0.1777 0.6777 0.5000
Pd 0.3223 0.1777 0.5000
Pd 0.6777 0.8223 0.5000
Pd 0.8223 0.3223 0.5000
O 0.0000 0.0000 0.0000
O 0.5000 0.5000 0.0000


Entry 20:
Computed, not measured: a relaxed BePdO crystal at the GGA-PBE level of DFT.

Unit cell a=2.6716 b=4.5469 c=6.8479 alpha=90.00 beta=89.71 gamma=89.99
Fractional coordinates of all 6 atoms:
Be 0.0000 0.0000 0.0000
Be 0.5000 0.5000 0.0031
Pd 0.4810 0.4505 0.5475
Pd 0.9822 0.9505 0.4553
O 0.9999 0.6645 0.0051
O 0.5000 0.1646 0.9982


Number 1: uncorrected formation energy -1310 meV per atom. Number 2: uncorrected formation energy 49 meV per atom. Number 3: uncorrected formation energy -1428 meV per atom. Number 4: uncorrected formation energy 795 meV per atom. Number 5: uncorrected formation energy -1035 meV per atom. Number 6: uncorrected formation energy -785 meV per atom. Number 7: uncorrected formation energy 105 meV per atom. Number 8: uncorrected formation energy -724 meV per atom. Number 9: uncorrected formation energy -382 meV per atom. Number 10: uncorrected formation energy -1416 meV per atom. Number 11: uncorrected formation energy -1340 meV per atom. Number 12: uncorrected formation energy -1417 meV per atom. Number 13: uncorrected formation energy -865 meV per atom. Number 14: uncorrected formation energy -1062 meV per atom. Number 15: uncorrected formation energy -1423 meV per atom. Number 16: uncorrected formation energy 47 meV per atom. Number 17: uncorrected formation energy -1096 meV per atom. Number 18: uncorrected formation energy -172 meV per atom. Number 19: uncorrected formation energy -431 meV per atom. Number 20: uncorrected formation energy -1431 meV per atom.